Density functional theory data (GGA-PBE) for a geometry-optimized ZrRe2Cl structure.

a = 10.8196 Å, b = 3.0542 Å, c = 4.2613 Å
α = 90.00°, β = 92.34°, γ = 90.00°
With the nearest neighbours (Å) after each atom.
Space group C2/m (No. 12)
Symmetry-distinct sites (fractional):
Zr 0.0000 0.0000 0.0000  4 Cl 2.62, 4 Re 2.92
Re 0.2173 0.5000 0.2165  2 Re 2.52, 1 Cl 2.69
Cl 0.0000 0.5000 0.5000  4 Zr 2.62, 2 Re 2.69

formation energy from raw total energies: 189.4 meV/atom
Fermi-level density of states: 6.0 states/eV/cell
electronic total energy: -8.63 eV/atom
energy above the lowest structure with this stoichiometry: 314.3 meV/atom